No. 1
First-principles (PBE) data for a relaxed SrRuW2 crystal, as listed in Alexandria.

Properties
* space-group type: Pm, No. 6
* calculated formation energy: 0.72 eV per atom
* relative energy among the computed polymorphs: 0.231 eV/f.u.

Cell lengths 2.9117, 4.2052, 6.8913 Å; angles 90.00, 101.78, 90.00 degrees
Fractional positions:
Sr (0.0000, 0.0000, 0.0000)
Ru (0.2511, 0.5000, 0.6843)
W (0.5035, 0.0000, 0.5173)
W (0.7406, 0.5000, 0.3381)

No. 2
First-principles (PBE) data for a relaxed AcPbAuO crystal, as listed in Alexandria.

Properties
* space-group type: I4mm, No. 107
* formation energy without anion corrections: -5.3 eV per formula unit

Cell lengths 8.2170, 8.2170, 8.2170 Å; angles 154.67, 154.67, 36.13 degrees
Fractional positions:
Ac (0.0000, 0.0000, 0.0000)
Pb (0.2581, 0.2581, 0.0000)
Au (0.6594, 0.6594, 0.0000)
O (0.4748, 0.4748, 0.0000)

No. 3
First-principles (PBE) data for a relaxed Li2H2Pd crystal, as listed in Alexandria.

Properties
* space-group type: P6_3/mmc, No. 194

Cell lengths 3.0418, 3.0418, 12.8939 Å; angles 90.00, 90.00, 120.00 degrees
Fractional positions:
Li (0.3333, 0.6667, 0.0899)
Li (0.3333, 0.6667, 0.4101)
Li (0.6667, 0.3333, 0.5899)
Li (0.6667, 0.3333, 0.9101)
H (0.0000, 0.0000, 0.0000)
H (0.0000, 0.0000, 0.5000)
H (0.3333, 0.6667, 0.7500)
H (0.6667, 0.3333, 0.2500)
Pd (0.0000, 0.0000, 0.2500)
Pd (0.0000, 0.0000, 0.7500)

no.,V (Å³/atom),ρ (g/cm³),energy (eV/cell)
1,20.7,11.18,-33.982
2,25.4,10.59,-21.314
3,10.3,3.93,-35.009